No. 1
Compound: ZrTeOs2
Source: the Alexandria database
Functional: PBE
Structure: optimized geometry

Structure (POSCAR):
```
ZrTeOs2
1.0
3.1557 0.0000 0.0000
0.0000 4.6518 0.0000
0.0000 0.0000 4.8388
Zr Te Os
1 1 2
Direct
0.0000 0.0000 0.0000 Zr
0.5000 0.0000 0.5000 Te
0.0000 0.5000 0.5000 Os
0.5000 0.5000 0.0000 Os
```

Computed properties:
Raw total energy ... -32.878 eV for the cell shown
Formation energy from raw total energies ... 0.3178 eV per atom
M_tot ... 0.0 μB per cell
D(E_F) ... 4.75 states/eV per cell


No. 2
Compound: ZrTeOs2
Source: the Alexandria database
Functional: PBE
Structure: optimized geometry

Structure (POSCAR):
```
ZrTeOs2
1.0
3.1096 0.0000 0.0000
0.0000 4.2711 0.0000
0.0000 0.0000 5.8185
Zr Te Os
1 1 2
Direct
0.0000 0.0000 0.0000 Zr
0.5000 0.0000 0.5000 Te
0.5000 0.5000 0.2098 Os
0.5000 0.5000 0.7902 Os
```

Computed properties:
Raw total energy ... -33.125 eV for the cell shown
Formation energy from raw total energies ... 0.2561 eV per atom
M_tot ... 0.0 μB per cell
D(E_F) ... 3.98 states/eV per cell


No. 3
Compound: ZrTeOs2
Source: the Alexandria database
Functional: PBE
Structure: optimized geometry

Structure (POSCAR):
```
ZrTeOs2
1.0
-2.1611 2.1611 3.7949
2.1611 -2.1611 3.7949
2.1611 2.1611 -3.7949
Zr Te Os
1 1 2
Direct
0.0000 0.0000 0.0000 Zr
0.5000 0.5000 0.0000 Te
0.2500 0.7500 0.5000 Os
0.7500 0.2500 0.5000 Os
```

Computed properties:
Raw total energy ... -33.277 eV for the cell shown
Formation energy from raw total energies ... 0.2181 eV per atom
M_tot ... 0.0 μB per cell
D(E_F) ... 2.06 states/eV per cell


No. 4
Compound: ZrTeOs2
Source: the Alexandria database
Functional: PBE
Structure: optimized geometry

Structure (POSCAR):
```
ZrTeOs2
1.0
4.9957 -1.5852 0.0000
4.9957 1.5852 0.0000
-1.5355 0.0000 4.5522
Zr Te Os
1 1 2
Direct
0.0000 0.0000 0.0000 Zr
0.7649 0.7649 0.2265 Te
0.2330 0.2330 0.6539 Os
0.5041 0.5041 0.5384 Os
```

Computed properties:
Raw total energy ... -33.423 eV for the cell shown
Formation energy from raw total energies ... 0.1816 eV per atom
M_tot ... 0.0 μB per cell
D(E_F) ... 2.13 states/eV per cell


No. 5
Compound: ZrTeOs2
Source: the Alexandria database
Functional: PBE
Structure: optimized geometry

Structure (POSCAR):
```
ZrTeOs2
1.0
2.9334 0.0000 0.0000
0.0000 3.8275 0.0000
0.0000 0.0000 7.7755
Zr Te Os
1 1 2
Direct
0.0000 0.0000 0.0000 Zr
0.5000 0.5000 0.7477 Te
0.0000 0.0000 0.3447 Os
0.5000 0.5000 0.2314 Os
```

Computed properties:
Raw total energy ... -33.400 eV for the cell shown
Formation energy from raw total energies ... 0.1874 eV per atom
M_tot ... 0.0 μB per cell
D(E_F) ... 2.39 states/eV per cell


No. 6
Compound: ZrTeOs2
Source: the Alexandria database
Functional: PBE
Structure: optimized geometry

Structure (POSCAR):
```
ZrTeOs2
1.0
4.4021 0.0000 0.0000
0.0000 4.4021 0.0000
0.0000 0.0000 3.6603
Zr Te Os
1 1 2
Direct
0.0000 0.0000 0.0000 Zr
0.5000 0.5000 0.0000 Te
0.0000 0.5000 0.5000 Os
0.5000 0.0000 0.5000 Os
```

Computed properties:
Raw total energy ... -33.384 eV for the cell shown
Formation energy from raw total energies ... 0.1914 eV per atom
M_tot ... 0.0 μB per cell
D(E_F) ... 3.04 states/eV per cell


No. 7
Compound: ZrTeOs2
Source: the Alexandria database
Functional: PBE
Structure: optimized geometry

Structure (POSCAR):
```
ZrTeOs2
1.0
4.5561 -1.5982 0.0000
4.5561 1.5982 0.0000
-1.0693 0.0000 4.9691
Zr Te Os
1 1 2
Direct
0.0000 0.0000 0.0000 Zr
0.5000 0.5000 0.5000 Te
0.2572 0.2572 0.7590 Os
0.7428 0.7428 0.2410 Os
```

Computed properties:
Raw total energy ... -33.023 eV for the cell shown
Formation energy from raw total energies ... 0.2815 eV per atom
M_tot ... 0.0 μB per cell
D(E_F) ... 2.90 states/eV per cell


No. 8
Compound: ZrTe4Os
Source: the Alexandria database
Functional: PBE
Structure: optimized geometry

Structure (POSCAR):
```
ZrTe4Os
1.0
0.0000 4.2799 4.2799
4.2799 0.0000 4.2799
4.2799 4.2799 0.0000
Zr Te Os
1 4 1
Direct
0.0000 0.0000 0.0000 Zr
0.3753 0.3753 0.3753 Te
0.3753 0.3753 0.8741 Te
0.3753 0.8741 0.3753 Te
0.8741 0.3753 0.3753 Te
0.7500 0.7500 0.7500 Os
```

Computed properties:
Raw total energy ... -24.833 eV for the cell shown
Formation energy from raw total energies ... 1.2519 eV per atom
M_tot ... 1.7 μB per cell
D(E_F) ... 4.60 states/eV per cell


No. 9
Compound: ZrTeOs2
Source: the Alexandria database
Functional: PBE
Structure: optimized geometry

Structure (POSCAR):
```
ZrTeOs2
1.0
-2.9193 2.9193 6.1709
2.9193 -2.9193 6.1709
2.9193 2.9193 -6.1709
Zr Te Os
2 2 4
Direct
0.0000 0.0000 0.0000 Zr
0.7500 0.2500 0.5000 Zr
0.2500 0.7500 0.5000 Te
0.5000 0.5000 0.0000 Te
0.1357 0.6250 0.0107 Os
0.3750 0.3857 0.5107 Os
0.6143 0.1250 0.9893 Os
0.8750 0.8643 0.4893 Os
```

Computed properties:
Raw total energy ... -60.163 eV for the cell shown
Formation energy from raw total energies ... 1.0170 eV per atom
M_tot ... 0.0 μB per cell
D(E_F) ... 7.74 states/eV per cell


No. 10
Compound: ZrTeOs2
Source: the Alexandria database
Functional: PBE
Structure: optimized geometry

Structure (POSCAR):
```
ZrTeOs2
1.0
1.6258 -2.5011 0.0000
1.6258 2.5011 0.0000
0.0000 0.0000 9.1488
Zr Te Os
1 1 2
Direct
0.0000 0.0000 0.0000 Zr
0.0000 0.0000 0.5000 Te
0.5000 0.5000 0.2331 Os
0.5000 0.5000 0.7669 Os
```

Computed properties:
Raw total energy ... -31.870 eV for the cell shown
Formation energy from raw total energies ... 0.5698 eV per atom
M_tot ... 0.0 μB per cell
D(E_F) ... 3.44 states/eV per cell


No. 11
Compound: ZrTeOs2
Source: the Alexandria database
Functional: PBE
Structure: optimized geometry

Structure (POSCAR):
```
ZrTeOs2
1.0
1.5834 0.9142 8.5643
-1.5834 0.9142 8.5643
0.0000 -1.8284 8.5643
Zr Te Os
1 1 2
Direct
0.0000 0.0000 0.0000 Zr
0.5000 0.5000 0.5000 Te
0.2514 0.2514 0.2514 Os
0.7486 0.7486 0.7486 Os
```

Computed properties:
Raw total energy ... -32.455 eV for the cell shown
Formation energy from raw total energies ... 0.4237 eV per atom
M_tot ... 0.0 μB per cell
D(E_F) ... 3.94 states/eV per cell


No. 12
Compound: ZrTe2Os2
Source: the Alexandria database
Functional: PBE
Structure: optimized geometry

Structure (POSCAR):
```
ZrTe2Os2
1.0
-2.3335 2.3335 4.8747
2.3335 -2.3335 4.8747
2.3335 2.3335 -4.8747
Zr Te Os
1 2 2
Direct
0.0000 0.0000 0.0000 Zr
0.2500 0.7500 0.5000 Te
0.7500 0.2500 0.5000 Te
0.3720 0.3720 0.0000 Os
0.6280 0.6280 0.0000 Os
```

Computed properties:
Raw total energy ... -34.735 eV for the cell shown
Formation energy from raw total energies ... 0.5112 eV per atom
M_tot ... 0.0 μB per cell
D(E_F) ... 4.42 states/eV per cell


No. 13
Compound: ZrTeOs2
Source: the Alexandria database
Functional: PBE
Structure: optimized geometry

Structure (POSCAR):
```
ZrTeOs2
1.0
1.5009 0.8666 9.3228
-1.5009 0.8666 9.3228
0.0000 -1.7331 9.3228
Zr Te Os
1 1 2
Direct
0.0000 0.0000 0.0000 Zr
0.7592 0.7592 0.7592 Te
0.2459 0.2459 0.2459 Os
0.5076 0.5076 0.5076 Os
```

Computed properties:
Raw total energy ... -32.299 eV for the cell shown
Formation energy from raw total energies ... 0.4626 eV per atom
M_tot ... 0.0 μB per cell
D(E_F) ... 1.32 states/eV per cell


No. 14
Compound: ZrTeOs2
Source: the Alexandria database
Functional: PBE
Structure: optimized geometry

Structure (POSCAR):
```
ZrTeOs2
1.0
2.9361 0.0000 0.0000
0.0000 3.7844 0.0000
-1.4630 0.0000 7.0871
Zr Te Os
1 1 2
Direct
0.0000 0.0000 0.0000 Zr
0.3567 0.5000 0.7108 Te
0.1938 0.0000 0.3887 Os
0.6245 0.5000 0.2483 Os
```

Computed properties:
Raw total energy ... -33.661 eV for the cell shown
Formation energy from raw total energies ... 0.1220 eV per atom
M_tot ... 0.0 μB per cell
D(E_F) ... 1.84 states/eV per cell


No. 15
Compound: Zr4TeOs
Source: the Alexandria database
Functional: PBE
Structure: optimized geometry

Structure (POSCAR):
```
Zr4TeOs
1.0
0.0000 3.9758 3.9758
3.9758 0.0000 3.9758
3.9758 3.9758 0.0000
Zr Te Os
4 1 1
Direct
0.1241 0.1241 0.1241 Zr
0.1241 0.1241 0.6277 Zr
0.1241 0.6277 0.1241 Zr
0.6277 0.1241 0.1241 Zr
0.5000 0.5000 0.5000 Te
0.7500 0.7500 0.7500 Os
```

Computed properties:
Raw total energy ... -46.051 eV for the cell shown
Formation energy from raw total energies ... 0.4189 eV per atom
M_tot ... 0.0 μB per cell
D(E_F) ... 7.54 states/eV per cell


No. 16
Compound: ZrTeOs2
Source: the Alexandria database
Functional: PBE
Structure: optimized geometry

Structure (POSCAR):
```
ZrTeOs2
1.0
0.0000 3.2985 3.2985
3.2985 0.0000 3.2985
3.2985 3.2985 0.0000
Zr Te Os
1 1 2
Direct
0.0000 0.0000 0.0000 Zr
0.2500 0.2500 0.2500 Te
0.5000 0.5000 0.5000 Os
0.7500 0.7500 0.7500 Os
```

Computed properties:
Raw total energy ... -32.032 eV for the cell shown
Formation energy from raw total energies ... 0.5293 eV per atom
M_tot ... 0.0 μB per cell
D(E_F) ... 5.86 states/eV per cell


No. 17
Compound: Th7Os3
Source: the Alexandria database
Functional: PBE
Structure: optimized geometry

Structure (POSCAR):
```
Th7Os3
1.0
10.0264 0.0000 0.0000
-5.0132 8.6831 0.0000
0.0000 0.0000 6.3315
Th Os
14 6
Direct
0.0798 0.5399 0.0000 Th
0.1264 0.2527 0.7050 Th
0.1264 0.8736 0.7050 Th
0.2527 0.1264 0.2050 Th
0.3333 0.6667 0.4864 Th
0.4601 0.5399 0.0000 Th
0.4601 0.9202 0.0000 Th
0.5399 0.0798 0.5000 Th
0.5399 0.4601 0.5000 Th
0.6667 0.3333 0.9864 Th
0.7473 0.8736 0.7050 Th
0.8736 0.1264 0.2050 Th
0.8736 0.7473 0.2050 Th
0.9202 0.4601 0.5000 Th
0.1871 0.3742 0.2505 Os
0.1871 0.8129 0.2505 Os
0.3742 0.1871 0.7505 Os
0.6258 0.8129 0.2505 Os
0.8129 0.1871 0.7505 Os
0.8129 0.6258 0.7505 Os
```

Computed properties:
ΔE_f ... -3.30 eV per formula unit
Raw total energy ... -177.856 eV for the cell shown
M_tot ... 0.0 μB per cell
D(E_F) ... 19.19 states/eV per cell


No. 18
Compound: ThOs6
Source: the Alexandria database
Functional: PBE
Structure: optimized geometry

Structure (POSCAR):
```
ThOs6
1.0
-3.3963 3.3963 3.3963
3.3963 -3.3963 3.3963
3.3963 3.3963 -3.3963
Th Os
1 6
Direct
0.0000 0.0000 0.0000 Th
0.2500 0.5000 0.7500 Os
0.2500 0.7500 0.5000 Os
0.5000 0.2500 0.7500 Os
0.5000 0.7500 0.2500 Os
0.7500 0.2500 0.5000 Os
0.7500 0.5000 0.2500 Os
```

Computed properties:
ΔE_f ... 5.26 eV per formula unit
Raw total energy ... -69.542 eV for the cell shown
M_tot ... 0.0 μB per cell
D(E_F) ... 3.24 states/eV per cell


No. 19
Compound: ThOs2
Source: the Alexandria database
Functional: PBE
Structure: optimized geometry

Structure (POSCAR):
```
ThOs2
1.0
0.0000 3.8605 3.8605
3.8605 0.0000 3.8605
3.8605 3.8605 0.0000
Th Os
2 4
Direct
0.1250 0.1250 0.1250 Th
0.8750 0.8750 0.8750 Th
0.0000 0.5000 0.5000 Os
0.5000 0.0000 0.5000 Os
0.5000 0.5000 0.0000 Os
0.5000 0.5000 0.5000 Os
```

Computed properties:
ΔE_f ... -0.75 eV per formula unit
Raw total energy ... -61.265 eV for the cell shown
M_tot ... 0.0 μB per cell
D(E_F) ... 4.17 states/eV per cell


No. 20
Compound: Th3Os2
Source: the Alexandria database
Functional: PBE
Structure: optimized geometry

Structure (POSCAR):
```
Th3Os2
1.0
3.5815 2.0678 6.4059
-3.5815 2.0678 6.4059
0.0000 -4.1356 6.4059
Th Os
6 4
Direct
0.0874 0.7500 0.4126 Th
0.2500 0.5874 0.9126 Th
0.4126 0.0874 0.7500 Th
0.5874 0.9126 0.2500 Th
0.7500 0.4126 0.0874 Th
0.9126 0.2500 0.5874 Th
0.1682 0.1682 0.1682 Os
0.3318 0.3318 0.3318 Os
0.6682 0.6682 0.6682 Os
0.8318 0.8318 0.8318 Os
```

Computed properties:
Relative energy among the computed polymorphs ... 0.062 eV/atom
ΔE_f ... -1.22 eV per formula unit
Raw total energy ... -91.869 eV for the cell shown
M_tot ... 0.0 μB per cell
D(E_F) ... 7.37 states/eV per cell